# 1
{"formula": "AcInRh", "functional": "GGA-PBE", "state": "optimized geometry", "cell": [[3.547, 0.000, 0.000], [0.000, 3.547, 0.000], [0.000, 0.000, 11.920]], "species": ["Ac", "Ac", "In", "In", "Rh", "Rh"], "frac_coords": [[0.000, 0.000, 0.000], [0.500, 0.500, 0.500], [0.000, 0.000, 0.280], [0.500, 0.500, 0.780], [0.000, 0.000, 0.664], [0.500, 0.500, 0.164]], "delta_e_f_ev_per_atom": -0.412, "de_polymorph_mev_per_atom": 263.6, "space_group": "I4mm"}

# 2
{"formula": "Ho2Tm4ThSc", "functional": "GGA-PBE", "state": "optimized geometry", "cell": [[5.692, 0.000, 0.000], [0.000, 5.692, 0.000], [0.000, 0.000, 7.456]], "species": ["Ho", "Ho", "Tm", "Tm", "Tm", "Tm", "Th", "Sc"], "frac_coords": [[0.000, 0.000, 0.000], [0.500, 0.500, 0.500], [0.000, 0.500, 0.240], [0.000, 0.500, 0.760], [0.500, 0.000, 0.240], [0.500, 0.000, 0.760], [0.000, 0.000, 0.500], [0.500, 0.500, 0.000]], "delta_e_f_ev_per_atom": 0.137, "space_group": "P4/mmm"}

# 3
{"formula": "RbFeRe3", "functional": "GGA-PBE", "state": "optimized geometry", "cell": [[4.628, 0.000, 0.000], [0.000, 4.628, 0.000], [0.000, 0.000, 4.628]], "species": ["Rb", "Fe", "Re", "Re", "Re"], "frac_coords": [[0.000, 0.000, 0.000], [0.500, 0.500, 0.500], [0.000, 0.500, 0.500], [0.500, 0.000, 0.500], [0.500, 0.500, 0.000]], "delta_e_f_ev_per_atom": 2.076, "de_polymorph_mev_per_atom": 0.0, "space_group": "Pm-3m"}

# 4
{"formula": "Ba2CdHg2Pd5", "functional": "GGA-PBE", "state": "optimized geometry", "cell": [[10.938, 0.000, 0.000], [0.000, 10.938, 0.000], [0.000, 0.000, 3.820]], "species": ["Ba", "Ba", "Ba", "Ba", "Cd", "Cd", "Hg", "Hg", "Hg", "Hg", "Pd", "Pd", "Pd", "Pd", "Pd", "Pd", "Pd", "Pd", "Pd", "Pd"], "frac_coords": [[0.172, 0.328, 0.000], [0.328, 0.828, 0.000], [0.672, 0.172, 0.000], [0.828, 0.672, 0.000], [0.000, 0.000, 0.000], [0.500, 0.500, 0.000], [0.129, 0.629, 0.000], [0.371, 0.129, 0.000], [0.629, 0.871, 0.000], [0.871, 0.371, 0.000], [0.000, 0.500, 0.500], [0.055, 0.810, 0.500], [0.190, 0.055, 0.500], [0.310, 0.555, 0.500], [0.445, 0.310, 0.500], [0.500, 0.000, 0.500], [0.555, 0.690, 0.500], [0.690, 0.445, 0.500], [0.810, 0.945, 0.500], [0.945, 0.190, 0.500]], "delta_e_f_ev_per_atom": -0.335, "space_group": "P4/mbm"}

# 5
{"formula": "NiAsCl2", "functional": "GGA-PBE", "state": "optimized geometry", "cell": [[3.488, 0.000, 0.000], [0.000, 4.247, 0.000], [0.000, 0.000, 15.571]], "species": ["Ni", "Ni", "As", "As", "Cl", "Cl", "Cl", "Cl"], "frac_coords": [[0.000, 0.000, 0.000], [0.500, 0.500, 0.500], [0.000, 0.500, 0.591], [0.500, 0.000, 0.091], [0.000, 0.000, 0.674], [0.000, 0.500, 0.407], [0.500, 0.000, 0.907], [0.500, 0.500, 0.174]], "de_polymorph_mev_per_atom": 195.2, "e_form_raw_ev_per_atom": -0.2618, "space_group": "Imm2"}

# 6
{"formula": "LaCr4Sb", "functional": "GGA-PBE", "state": "optimized geometry", "cell": [[0.000, 3.670, 3.670], [3.670, 0.000, 3.670], [3.670, 3.670, 0.000]], "species": ["La", "Cr", "Cr", "Cr", "Cr", "Sb"], "frac_coords": [[0.000, 0.000, 0.000], [0.376, 0.376, 0.376], [0.376, 0.376, 0.873], [0.376, 0.873, 0.376], [0.873, 0.376, 0.376], [0.750, 0.750, 0.750]], "e_form_raw_ev_per_atom": 0.4627, "space_group": "F-43m"}

# 7
{"formula": "PrGdLuZn", "functional": "GGA-PBE", "state": "optimized geometry", "cell": [[7.620, 0.000, 0.000], [0.000, 7.620, 0.000], [0.000, 0.000, 7.620]], "species": ["Pr", "Pr", "Pr", "Pr", "Gd", "Gd", "Gd", "Gd", "Lu", "Lu", "Lu", "Lu", "Zn", "Zn", "Zn", "Zn"], "frac_coords": [[0.000, 0.000, 0.000], [0.000, 0.500, 0.500], [0.500, 0.000, 0.500], [0.500, 0.500, 0.000], [0.000, 0.000, 0.500], [0.000, 0.500, 0.000], [0.500, 0.000, 0.000], [0.500, 0.500, 0.500], [0.250, 0.250, 0.250], [0.250, 0.750, 0.750], [0.750, 0.250, 0.750], [0.750, 0.750, 0.250], [0.250, 0.250, 0.750], [0.250, 0.750, 0.250], [0.750, 0.250, 0.250], [0.750, 0.750, 0.750]], "delta_e_f_ev_per_atom": 0.004, "space_group": "F-43m"}

# 8
{"formula": "BaTcCl5", "functional": "GGA-PBE", "state": "optimized geometry", "cell": [[5.835, -3.898, 0.000], [5.835, 3.898, 0.000], [-4.091, 0.000, 9.184]], "species": ["Ba", "Ba", "Tc", "Tc", "Cl", "Cl", "Cl", "Cl", "Cl", "Cl", "Cl", "Cl", "Cl", "Cl"], "frac_coords": [[0.048, 0.952, 0.750], [0.952, 0.048, 0.250], [0.500, 0.500, 0.000], [0.500, 0.500, 0.500], [0.129, 0.706, 0.989], [0.183, 0.407, 0.387], [0.294, 0.871, 0.511], [0.407, 0.183, 0.887], [0.453, 0.547, 0.750], [0.547, 0.453, 0.250], [0.593, 0.817, 0.113], [0.706, 0.129, 0.489], [0.817, 0.593, 0.613], [0.871, 0.294, 0.011]], "e_form_raw_ev_per_atom": -1.3431, "space_group": "C2/c"}

# 9
{"formula": "AlFeBi2", "functional": "GGA-PBE", "state": "optimized geometry", "cell": [[6.348, 0.000, 0.000], [0.000, 6.348, 0.000], [0.000, 0.000, 12.491]], "species": ["Al", "Al", "Al", "Al", "Fe", "Fe", "Fe", "Fe", "Bi", "Bi", "Bi", "Bi", "Bi", "Bi", "Bi", "Bi"], "frac_coords": [[0.000, 0.000, 0.000], [0.000, 0.500, 0.250], [0.500, 0.000, 0.750], [0.500, 0.500, 0.500], [0.000, 0.000, 0.500], [0.000, 0.500, 0.750], [0.500, 0.000, 0.250], [0.500, 0.500, 0.000], [0.230, 0.250, 0.625], [0.250, 0.730, 0.875], [0.250, 0.770, 0.375], [0.270, 0.250, 0.125], [0.730, 0.750, 0.125], [0.750, 0.230, 0.375], [0.750, 0.270, 0.875], [0.770, 0.750, 0.625]], "delta_e_f_ev_per_atom": 0.533, "space_group": "I-42d"}

# 10
{"formula": "AlPS4", "functional": "GGA-PBE", "state": "optimized geometry", "cell": [[5.710, 0.000, 0.000], [0.000, 5.712, 0.000], [0.000, 0.000, 11.468]], "species": ["Al", "Al", "P", "P", "S", "S", "S", "S", "S", "S", "S", "S"], "frac_coords": [[0.000, 0.000, 0.000], [0.500, 0.000, 0.500], [0.000, 0.000, 0.500], [0.000, 0.500, 0.000], [0.200, 0.277, 0.101], [0.200, 0.723, 0.899], [0.224, 0.199, 0.601], [0.224, 0.801, 0.399], [0.776, 0.199, 0.399], [0.776, 0.801, 0.601], [0.800, 0.277, 0.899], [0.800, 0.723, 0.101]], "e_form_raw_ev_per_atom": -0.5871, "space_group": "P222"}

# 11
{"formula": "AlIn2Fe", "functional": "GGA-PBE", "state": "optimized geometry", "cell": [[5.752, 0.000, 0.000], [0.000, 8.492, 0.000], [0.000, 0.000, 3.108]], "species": ["Al", "Al", "In", "In", "In", "In", "Fe", "Fe"], "frac_coords": [[0.000, 0.000, 0.000], [0.500, 0.500, 0.000], [0.250, 0.250, 0.500], [0.250, 0.750, 0.500], [0.750, 0.250, 0.500], [0.750, 0.750, 0.500], [0.000, 0.500, 0.000], [0.500, 0.000, 0.000]], "delta_e_f_ev_per_atom": 0.327, "space_group": "Cmmm"}

# 12
{"formula": "Sr3YEr3S8", "functional": "GGA-PBE", "state": "optimized geometry", "cell": [[3.976, 2.295, 6.837], [-3.976, 2.295, 6.837], [0.000, -4.591, 6.837]], "species": ["Sr", "Sr", "Sr", "Y", "Er", "Er", "Er", "S", "S", "S", "S", "S", "S", "S", "S"], "frac_coords": [[0.000, 0.500, 0.500], [0.500, 0.000, 0.500], [0.500, 0.500, 0.000], [0.500, 0.500, 0.500], [0.000, 0.000, 0.500], [0.000, 0.500, 0.000], [0.500, 0.000, 0.000], [0.239, 0.742, 0.742], [0.242, 0.242, 0.242], [0.258, 0.258, 0.761], [0.258, 0.761, 0.258], [0.742, 0.239, 0.742], [0.742, 0.742, 0.239], [0.758, 0.758, 0.758], [0.761, 0.258, 0.258]], "e_form_raw_ev_per_atom": -2.0799, "space_group": "R-3m"}

Number 1: ρ 9.846 g/cm3. Number 2: ρ 8.817 g/cm3. Number 3: ρ 11.725 g/cm3. Number 4: ρ 9.594 g/cm3. Number 5: ρ 2.945 g/cm3. Number 6: ρ 7.873 g/cm3. Number 7: ρ 8.085 g/cm3. Number 8: ρ 3.280 g/cm3. Number 9: ρ 6.608 g/cm3. Number 10: ρ 1.654 g/cm3. Number 11: ρ 6.835 g/cm3. Number 12: ρ 4.924 g/cm3.